# PBE NaMgNi2, optimized geometry
data_NaMgNi2
_chemical_formula_sum 'Na4 Mg4 Ni8'
_space_group_name_H-M_alt 'I -4 2 d'
_space_group_IT_number 122
_space_group_name_Hall 'I -4 2bw'
_cell_length_a 7.1046
_cell_length_b 7.1046
_cell_length_c 5.2212
_cell_angle_alpha 90.00
_cell_angle_beta 90.00
_cell_angle_gamma 90.00
loop_
_atom_site_label
_atom_site_fract_x
_atom_site_fract_y
_atom_site_fract_z
Na1 0.0000 0.0000 0.0000
Mg1 0.0000 0.0000 0.5000
Ni1 0.2336 0.7500 0.6250
# formation energy	0.554	eV/atom

# PBE Na2MgNi2, optimized geometry
data_Na2MgNi2
_chemical_formula_sum 'Na4 Mg2 Ni4'
_space_group_name_H-M_alt 'P 4/m b m'
_space_group_IT_number 127
_space_group_name_Hall '-P 4 2ab'
_cell_length_a 6.4261
_cell_length_b 6.4261
_cell_length_c 4.7208
_cell_angle_alpha 90.00
_cell_angle_beta 90.00
_cell_angle_gamma 90.00
loop_
_atom_site_label
_atom_site_fract_x
_atom_site_fract_y
_atom_site_fract_z
Na1 0.1713 0.3287 0.0000
Mg1 0.0000 0.0000 0.5000
Ni1 0.1251 0.6251 0.5000
# formation energy	0.323	eV/atom

# PBE NaMg6Ni, optimized geometry
data_NaMg6Ni
_chemical_formula_sum 'Na2 Mg12 Ni2'
_space_group_name_H-M_alt 'A m m 2'
_space_group_IT_number 38
_cell_length_a 3.4454
_cell_length_b 9.7977
_cell_length_c 9.9684
_cell_angle_alpha 90.00
_cell_angle_beta 90.00
_cell_angle_gamma 90.00
loop_
_space_group_symop_operation_xyz
'x,y,z'
'-x,-y,z'
'-x,y,z'
'x,-y,z'
'x,y+1/2,z+1/2'
'-x,-y+1/2,z+1/2'
'-x,y+1/2,z+1/2'
'x,-y+1/2,z+1/2'
loop_
_atom_site_label
_atom_site_fract_x
_atom_site_fract_y
_atom_site_fract_z
Na1 0.0000 0.0000 0.0000
Mg1 0.0000 0.2501 0.2490
Mg2 0.5000 0.0000 0.2872
Mg3 0.5000 0.0000 0.7129
Mg4 0.5000 0.2137 0.4994
Ni1 0.0000 0.0000 0.5008
# E above lowest polymorph	0.000	eV/atom
# formation energy	0.007	eV/atom

# PBE NaMg2Ni, optimized geometry
data_NaMg2Ni
_chemical_formula_sum 'Na4 Mg8 Ni4'
_space_group_name_H-M_alt 'F m -3 m'
_space_group_IT_number 225
_space_group_name_Hall '-F 4 2 3'
_cell_length_a 6.6684
_cell_length_b 6.6684
_cell_length_c 6.6684
_cell_angle_alpha 90.00
_cell_angle_beta 90.00
_cell_angle_gamma 90.00
loop_
_atom_site_label
_atom_site_fract_x
_atom_site_fract_y
_atom_site_fract_z
Na1 0.0000 0.0000 0.0000
Mg1 0.2500 0.2500 0.2500
Ni1 0.0000 0.0000 0.5000
# E above lowest polymorph	0.000	eV/atom
# formation energy	0.132	eV/atom

# PBE NaMg14Ni, optimized geometry
data_NaMg14Ni
_chemical_formula_sum 'Na2 Mg28 Ni2'
_space_group_name_H-M_alt 'A m m 2'
_space_group_IT_number 38
_cell_length_a 10.1875
_cell_length_b 6.3202
_cell_length_c 10.9247
_cell_angle_alpha 90.00
_cell_angle_beta 90.00
_cell_angle_gamma 90.00
loop_
_space_group_symop_operation_xyz
'x,y,z'
'-x,-y,z'
'-x,y,z'
'x,-y,z'
'x,y+1/2,z+1/2'
'-x,-y+1/2,z+1/2'
'-x,y+1/2,z+1/2'
'x,-y+1/2,z+1/2'
loop_
_atom_site_label
_atom_site_fract_x
_atom_site_fract_y
_atom_site_fract_z
Na1 0.0000 0.0000 0.0000
Mg1 0.0000 0.2391 0.7489
Mg2 0.2266 0.0000 0.3477
Mg3 0.2386 0.2416 0.5881
Mg4 0.2564 0.0000 0.8384
Mg5 0.5000 0.0000 0.0091
Mg6 0.5000 0.0000 0.5068
Mg7 0.5000 0.2459 0.2563
Ni1 0.0000 0.0000 0.5218
# E above lowest polymorph	0.008	eV/atom
# formation energy	0.044	eV/atom

# PBE NaMg14Ni, optimized geometry
data_NaMg14Ni
_chemical_formula_sum 'Na1 Mg14 Ni1'
_space_group_name_H-M_alt 'P -6 m 2'
_space_group_IT_number 187
_space_group_name_Hall 'P -6 2'
_cell_length_a 6.3064
_cell_length_b 6.3064
_cell_length_c 10.1994
_cell_angle_alpha 90.00
_cell_angle_beta 90.00
_cell_angle_gamma 120.00
loop_
_atom_site_label
_atom_site_fract_x
_atom_site_fract_y
_atom_site_fract_z
Na1 0.0000 0.0000 0.0000
Mg1 0.0062 0.5031 0.0000
Mg2 0.1620 0.3241 0.2685
Mg3 0.5040 0.0080 0.5000
Mg4 0.6667 0.3333 0.2434
Ni1 0.0000 0.0000 0.5000
# E above lowest polymorph	0.000	eV/atom
# formation energy	0.035	eV/atom

# PBE NaMg2Ni2, optimized geometry
data_NaMg2Ni2
_chemical_formula_sum 'Na2 Mg4 Ni4'
_space_group_name_H-M_alt 'P 4/m b m'
_space_group_IT_number 127
_space_group_name_Hall '-P 4 2ab'
_cell_length_a 7.6538
_cell_length_b 7.6538
_cell_length_c 2.8640
_cell_angle_alpha 90.00
_cell_angle_beta 90.00
_cell_angle_gamma 90.00
loop_
_atom_site_label
_atom_site_fract_x
_atom_site_fract_y
_atom_site_fract_z
Na1 0.0000 0.0000 0.0000
Mg1 0.1716 0.3284 0.5000
Ni1 0.1173 0.6173 0.0000
# E above lowest polymorph	0.000	eV/atom
# formation energy	0.028	eV/atom

# PBE Na3MgNi, optimized geometry
data_Na3MgNi
_chemical_formula_sum 'Na3 Mg1 Ni1'
_space_group_name_H-M_alt 'P m -3 m'
_space_group_IT_number 221
_space_group_name_Hall '-P 4 2 3'
_cell_length_a 5.6555
_cell_length_b 5.6555
_cell_length_c 5.6555
_cell_angle_alpha 90.00
_cell_angle_beta 90.00
_cell_angle_gamma 90.00
loop_
_atom_site_label
_atom_site_fract_x
_atom_site_fract_y
_atom_site_fract_z
Na1 0.0000 0.0000 0.5000
Mg1 0.0000 0.0000 0.0000
Ni1 0.5000 0.5000 0.5000
# E above lowest polymorph	0.442	eV/atom
# formation energy	0.966	eV/atom